Entry 1:
{
  "formula": "Sm2ErGe",
  "functional": "PBE-GGA",
  "state": "optimized geometry",
  "polymorph_energy_ev_per_atom": 0.0000,
  "delta_e_f_ev_per_atom": -0.328,
  "crystal_system": "tetragonal",
  "m_tot_mub_per_fu": 0.0,
  "sg": "P4/mmm, No. 123",
  "density_g_cm3": 8.55,
  "lattice": [[-2.8780, 3.7802, 0.2310], [-3.7068, -2.8498, 0.4540], [0.4992, 0.0947, 4.6701]],
  "species": ["Ge", "Sm", "Sm", "Er"],
  "frac_coords": [[0.5000, 0.5000, 0.5000], [0.0000, 0.0000, 0.5000], [0.0000, 0.5000, 0.0000], [0.5000, 0.0000, 0.0000]]
}

---

Entry 2:
{
  "formula": "SrCdAg",
  "functional": "PBE-GGA",
  "state": "optimized geometry",
  "delta_e_f_ev_per_atom": -0.305,
  "crystal_system": "hexagonal",
  "m_tot_mub_per_fu": 0.0,
  "sg": "P-6m2, No. 187",
  "density_g_cm3": 5.87,
  "lattice": [[4.9319, 0.0000, 0.0000], [-2.4660, 4.2712, 0.0000], [0.0000, 0.0000, 4.1364]],
  "species": ["Sr", "Ag", "Cd"],
  "frac_coords": [[0.3333, 0.6667, 0.6667], [0.0000, 0.0000, 0.1660], [0.6667, 0.3333, 0.1674]]
}

---

Entry 3:
{
  "formula": "CaGa2Pd5Au",
  "functional": "PBE-GGA",
  "state": "optimized geometry",
  "delta_e_f_ev_per_atom": -0.357,
  "crystal_system": "tetragonal",
  "m_tot_mub_per_fu": 0.0,
  "sg": "P4/mmm, No. 123",
  "density_g_cm3": 9.26,
  "lattice": [[4.6276, 0.0000, 0.0000], [0.0000, 4.6276, 0.0000], [0.0000, 0.0000, 7.6099]],
  "species": ["Ca", "Ga", "Ga", "Pd", "Pd", "Pd", "Pd", "Pd", "Au"],
  "frac_coords": [[0.0000, 0.0000, 0.5000], [0.5000, 0.5000, 0.1596], [0.5000, 0.5000, 0.8404], [0.0000, 0.5000, 0.2525], [0.5000, 0.0000, 0.2525], [0.0000, 0.5000, 0.7475], [0.5000, 0.0000, 0.7475], [0.5000, 0.5000, 0.5000], [0.0000, 0.0000, 0.0000]]
}